Record 1
The following is a GGA-PBE calculation of Sc2AsPt after structural relaxation, from Alexandria.

Calculated values
N(E_F)   1.5858 states/eV/atom
Energy relative to the lowest polymorph listed for this composition   780.3 meV per atom
ΔE_f   -0.457 eV/atom

Cell: 6.650 6.650 6.650 Å, 90.00 90.00 90.00°
Space group F-43m (No. 216)
One atom of each set of equivalent atoms:
Sc: 0.000 0.000 0.000 [4 per cell]
Sc: 0.250 0.250 0.250 [4 per cell]
As: 0.000 0.000 0.500 [4 per cell]
Pt: 0.250 0.250 0.750 [4 per cell]



Record 2
The following is a GGA-PBE calculation of Sc2As2Pt after structural relaxation, from Alexandria.

Calculated values
N(E_F)   0.6150 states/eV/atom
ΔE_f   -0.973 eV/atom

Cell: 6.925 6.925 3.817 Å, 90.00 90.00 90.00°
Space group P4/mbm (No. 127)
One atom of each set of equivalent atoms:
Sc: 0.161 0.339 0.000 [4 per cell]
As: 0.148 0.648 0.500 [4 per cell]
Pt: 0.000 0.000 0.500 [2 per cell]



Record 3
The following is a GGA-PBE calculation of ScAsPt3 after structural relaxation, from Alexandria.

Calculated values
N(E_F)   0.4827 states/eV/atom
Energy relative to the lowest polymorph listed for this composition   0.0 meV per atom
ΔE_f   -0.131 eV/atom

Cell: 4.678 4.678 4.678 Å, 90.00 90.00 90.00°
Space group Pm-3m (No. 221)
One atom of each set of equivalent atoms:
Sc: 0.000 0.000 0.000 [1 per cell]
As: 0.500 0.500 0.500 [1 per cell]
Pt: 0.000 0.500 0.500 [3 per cell]



Record 4
The following is a GGA-PBE calculation of Sc2AsPt after structural relaxation, from Alexandria.

Calculated values
N(E_F)   1.0422 states/eV/atom
Energy relative to the lowest polymorph listed for this composition   642.7 meV per atom
ΔE_f   -0.594 eV/atom

Cell: 5.849 5.849 12.900 Å, 90.00 90.00 90.00°
Space group I-42d (No. 122)
One atom of each set of equivalent atoms:
Sc: 0.248 0.250 0.125 [8 per cell]
As: 0.000 0.000 0.500 [4 per cell]
Pt: 0.000 0.000 0.000 [4 per cell]



Record 5
The following is a GGA-PBE calculation of Sc2AsPt after structural relaxation, from Alexandria.

Calculated values
N(E_F)   0.7951 states/eV/atom
Energy relative to the lowest polymorph listed for this composition   152.6 meV per atom
ΔE_f   -1.084 eV/atom

Cell: 6.682 3.865 6.761 Å, 90.00 109.30 90.00°
Space group C2/m (No. 12)
One atom of each set of equivalent atoms:
Sc: 0.250 0.000 0.249 [4 per cell]
As: 0.000 0.500 0.000 [2 per cell]
Pt: 0.000 0.000 0.500 [2 per cell]



Record 6
The following is a GGA-PBE calculation of Sc2AsPt after structural relaxation, from Alexandria.

Calculated values
N(E_F)   0.7165 states/eV/atom
Energy relative to the lowest polymorph listed for this composition   188.2 meV per atom
ΔE_f   -1.049 eV/atom

Cell: 6.567 6.595 3.439 Å, 90.00 90.00 90.00°
Space group Cmmm (No. 65)
One atom of each set of equivalent atoms:
Sc: 0.250 0.250 0.000 [4 per cell]
As: 0.000 0.000 0.500 [2 per cell]
Pt: 0.000 0.500 0.500 [2 per cell]



Record 7
The following is a GGA-PBE calculation of Sc2AsPt after structural relaxation, from Alexandria.

Calculated values
N(E_F)   1.0150 states/eV/atom
Energy relative to the lowest polymorph listed for this composition   769.3 meV per atom
ΔE_f   -0.468 eV/atom

Cell: 3.6264 3.6264 25.7083 Å, 90.00 90.00 120.00°
Space group R-3m (No. 166, hexagonal axes)
One atom of each set of equivalent atoms:
Sc: 0.0000 0.0000 0.1028 [6 per cell]
As: 0.0000 0.0000 0.0000 [3 per cell]
Pt: 0.0000 0.0000 0.5000 [3 per cell]



Record 8
The following is a GGA-PBE calculation of ScAsPt4 after structural relaxation, from Alexandria.

Calculated values
N(E_F)   0.5028 states/eV/atom
ΔE_f   -0.424 eV/atom

Cell: 7.512 7.512 7.512 Å, 90.00 90.00 90.00°
Space group F-43m (No. 216)
One atom of each set of equivalent atoms:
Sc: 0.000 0.000 0.000 [4 per cell]
As: 0.250 0.250 0.250 [4 per cell]
Pt: 0.125 0.125 0.625 [16 per cell]



Record 9
The following is a GGA-PBE calculation of Sc2AsPt after structural relaxation, from Alexandria.

Calculated values
N(E_F)   0.5089 states/eV/atom
Energy relative to the lowest polymorph listed for this composition   174.6 meV per atom
ΔE_f   -1.062 eV/atom

Cell: 3.882 3.882 5.484 Å, 90.00 90.00 90.00°
Space group P4mm (No. 99)
One atom of each set of equivalent atoms:
Sc: 0.000 0.000 0.000 [1 per cell]
Sc: 0.500 0.500 0.498 [1 per cell]
As: 0.500 0.500 0.998 [1 per cell]
Pt: 0.000 0.000 0.499 [1 per cell]



Record 10
The following is a GGA-PBE calculation of Sc2AsPt after structural relaxation, from Alexandria.

Calculated values
N(E_F)   1.1951 states/eV/atom
Energy relative to the lowest polymorph listed for this composition   244.2 meV per atom
ΔE_f   -0.993 eV/atom

Cell: 6.681 6.681 6.681 Å, 90.00 90.00 90.00°
Space group Fm-3m (No. 225)
One atom of each set of equivalent atoms:
Sc: 0.250 0.250 0.250 [8 per cell]
As: 0.000 0.000 0.000 [4 per cell]
Pt: 0.000 0.000 0.500 [4 per cell]



Record 11
The following is a GGA-PBE calculation of Sc2AsPt after structural relaxation, from Alexandria.

Calculated values
N(E_F)   0.5966 states/eV/atom
Energy relative to the lowest polymorph listed for this composition   203.4 meV per atom
ΔE_f   -1.034 eV/atom

Cell: 3.856 3.856 9.948 Å, 90.00 90.00 90.00°
Space group I-4m2 (No. 119)
One atom of each set of equivalent atoms:
Sc: 0.000 0.000 0.000 [2 per cell]
Sc: 0.000 0.500 0.250 [2 per cell]
As: 0.000 0.500 0.750 [2 per cell]
Pt: 0.000 0.000 0.500 [2 per cell]



Record 12
The following is a GGA-PBE calculation of Sc2AsPt after structural relaxation, from Alexandria.

Calculated values
N(E_F)   0.3060 states/eV/atom
Energy relative to the lowest polymorph listed for this composition   0.0 meV per atom
ΔE_f   -1.237 eV/atom

Cell: 4.042 3.720 10.207 Å, 90.00 90.00 90.00°
Space group Amm2 (No. 38)
One atom of each set of equivalent atoms:
Sc: 0.000 0.000 0.000 [2 per cell]
Sc: 0.500 0.000 0.283 [2 per cell]
As: 0.500 0.000 0.556 [2 per cell]
Pt: 0.000 0.000 0.736 [2 per cell]



Record 13
The following is a GGA-PBE calculation of Sc2AsPt2 after structural relaxation, from Alexandria.

Calculated values
N(E_F)   0.5218 states/eV/atom
ΔE_f   -1.009 eV/atom

Cell: 7.562 7.562 3.262 Å, 90.00 90.00 90.00°
Space group P4/mbm (No. 127)
One atom of each set of equivalent atoms:
Sc: 0.168 0.332 0.000 [4 per cell]
As: 0.000 0.000 0.500 [2 per cell]
Pt: 0.130 0.630 0.500 [4 per cell]



Record 14
The following is a GGA-PBE calculation of Sc3AsPt after structural relaxation, from Alexandria.

Calculated values
N(E_F)   1.2637 states/eV/atom
Energy relative to the lowest polymorph listed for this composition   0.0 meV per atom
ΔE_f   -0.420 eV/atom

Cell: 5.039 5.039 5.039 Å, 90.00 90.00 90.00°
Space group Pm-3m (No. 221)
One atom of each set of equivalent atoms:
Sc: 0.000 0.000 0.500 [3 per cell]
As: 0.500 0.500 0.500 [1 per cell]
Pt: 0.000 0.000 0.000 [1 per cell]



Record 15
The following is a GGA-PBE calculation of ScAsPt3 after structural relaxation, from Alexandria.

Calculated values
N(E_F)   0.5127 states/eV/atom
Energy relative to the lowest polymorph listed for this composition   840.2 meV per atom
ΔE_f   0.709 eV/atom

Cell: 4.803 4.803 4.803 Å, 90.00 90.00 90.00°
Space group Pm-3m (No. 221)
One atom of each set of equivalent atoms:
Sc: 0.000 0.000 0.000 [1 per cell]
As: 0.500 0.500 0.500 [1 per cell]
Pt: 0.000 0.000 0.500 [3 per cell]



Record 16
The following is a GGA-PBE calculation of Sc2AsPt after structural relaxation, from Alexandria.

Calculated values
N(E_F)   0.6464 states/eV/atom
Energy relative to the lowest polymorph listed for this composition   169.8 meV per atom
ΔE_f   -1.067 eV/atom

Cell: 3.295 3.436 6.634 Å, 90.00 95.04 90.00°
Space group P2/m (No. 10)
One atom of each set of equivalent atoms:
Sc: 0.039 0.000 0.250 [2 per cell]
As: 0.500 0.500 0.500 [1 per cell]
Pt: 0.500 0.500 0.000 [1 per cell]



Record 17
The following is a GGA-PBE calculation of ScAs4Pt after structural relaxation, from Alexandria.

Calculated values
N(E_F)   0.5720 states/eV/atom
ΔE_f   0.088 eV/atom

Cell: 7.712 7.712 7.712 Å, 90.00 90.00 90.00°
Space group F-43m (No. 216)
One atom of each set of equivalent atoms:
Sc: 0.000 0.000 0.000 [4 per cell]
As: 0.124 0.124 0.624 [16 per cell]
Pt: 0.250 0.250 0.250 [4 per cell]



Record 18
The following is a GGA-PBE calculation of ScAs2PtSe after structural relaxation, from Alexandria.

Calculated values
ΔE_f (raw)   0.116 eV per atom
N(E_F)   0.8895 states/eV/atom
Energy relative to the lowest polymorph listed for this composition   0.0 meV per atom

Cell: 4.829 4.829 5.134 Å, 90.00 90.00 90.00°
Space group P4/mmm (No. 123)
One atom of each set of equivalent atoms:
Sc: 0.000 0.000 0.000 [1 per cell]
As: 0.000 0.500 0.500 [2 per cell]
Pt: 0.500 0.500 0.500 [1 per cell]
Se: 0.500 0.500 0.000 [1 per cell]



Record 19
The following is a GGA-PBE calculation of ScAsPtSe2 after structural relaxation, from Alexandria.

Calculated values
ΔE_f (raw)   0.389 eV per atom
N(E_F)   1.0469 states/eV/atom
Energy relative to the lowest polymorph listed for this composition   392.6 meV per atom

Cell: 4.987 4.987 5.124 Å, 90.00 90.00 90.00°
Space group P4/mmm (No. 123)
One atom of each set of equivalent atoms:
Sc: 0.000 0.000 0.000 [1 per cell]
As: 0.000 0.000 0.500 [1 per cell]
Pt: 0.500 0.500 0.500 [1 per cell]
Se: 0.000 0.500 0.000 [2 per cell]



Record 20
The following is a GGA-PBE calculation of ScAs2PtSe after structural relaxation, from Alexandria.

Calculated values
ΔE_f (raw)   0.528 eV per atom
N(E_F)   0.6602 states/eV/atom
Energy relative to the lowest polymorph listed for this composition   412.0 meV per atom

Cell: 5.042 5.042 4.935 Å, 90.00 90.00 90.00°
Space group P4/mmm (No. 123)
One atom of each set of equivalent atoms:
Sc: 0.000 0.000 0.000 [1 per cell]
As: 0.000 0.500 0.000 [2 per cell]
Pt: 0.500 0.500 0.500 [1 per cell]
Se: 0.000 0.000 0.500 [1 per cell]



Record 21
The following is a GGA-PBE calculation of ScAsPtSe2 after structural relaxation, from Alexandria.

Calculated values
ΔE_f (raw)   -0.004 eV per atom
N(E_F)   0.7803 states/eV/atom
Energy relative to the lowest polymorph listed for this composition   0.0 meV per atom

Cell: 5.069 5.069 4.719 Å, 90.00 90.00 90.00°
Space group P4/mmm (No. 123)
One atom of each set of equivalent atoms:
Sc: 0.000 0.000 0.000 [1 per cell]
As: 0.500 0.500 0.000 [1 per cell]
Pt: 0.500 0.500 0.500 [1 per cell]
Se: 0.000 0.500 0.500 [2 per cell]



Record 22
The following is a GGA-PBE calculation of Sm2ScAs3Pt4 after structural relaxation, from Alexandria.

Calculated values
N(E_F)   0.4919 states/eV/atom
ΔE_f   -0.975 eV/atom

Cell: 4.216 4.216 11.189 Å, 90.00 90.00 90.00°
Space group P-4m2 (No. 115)
One atom of each set of equivalent atoms:
Sm: 0.000 0.500 0.219 [2 per cell]
Sc: 0.000 0.000 0.500 [1 per cell]
As: 0.000 0.500 0.864 [2 per cell]
As: 0.500 0.500 0.500 [1 per cell]
Pt: 0.000 0.000 0.000 [1 per cell]
Pt: 0.000 0.500 0.645 [2 per cell]
Pt: 0.500 0.500 0.000 [1 per cell]



Record 23
The following is a GGA-PBE calculation of ScTiAsPt2 after structural relaxation, from Alexandria.

Calculated values
N(E_F)   0.9796 states/eV/atom
ΔE_f   0.800 eV/atom

Cell: 4.743 4.743 4.877 Å, 90.00 90.00 90.00°
Space group P4/mmm (No. 123)
One atom of each set of equivalent atoms:
Sc: 0.000 0.000 0.000 [1 per cell]
Ti: 0.000 0.000 0.500 [1 per cell]
As: 0.500 0.500 0.500 [1 per cell]
Pt: 0.000 0.500 0.000 [2 per cell]



Record 24
The following is a GGA-PBE calculation of ScAsPtW2 after structural relaxation, from Alexandria.

Calculated values
N(E_F)   0.3545 states/eV/atom
ΔE_f   0.757 eV/atom

Cell: 4.648 4.648 4.634 Å, 90.00 90.00 90.00°
Space group P4/mmm (No. 123)
One atom of each set of equivalent atoms:
Sc: 0.000 0.000 0.000 [1 per cell]
As: 0.500 0.500 0.500 [1 per cell]
Pt: 0.500 0.500 0.000 [1 per cell]
W: 0.000 0.500 0.500 [2 per cell]



Record 25
The following is a GGA-PBE calculation of As2PtSe after structural relaxation, from Alexandria.

Calculated values
ΔE_f (raw)   -0.014 eV per atom
N(E_F)   0.2865 states/eV/atom

Cell: 5.902 5.902 11.651 Å, 90.00 90.00 90.00°
Space group I-42d (No. 122)
One atom of each set of equivalent atoms:
As: 0.210 0.250 0.125 [8 per cell]
Pt: 0.000 0.000 0.000 [4 per cell]
Se: 0.000 0.000 0.500 [4 per cell]



Record 26
The following is a GGA-PBE calculation of As2PtSe after structural relaxation, from Alexandria.

Calculated values
ΔE_f (raw)   -0.110 eV per atom
N(E_F)   0.6956 states/eV/atom

Cell: 3.783 5.290 7.657 Å, 90.00 90.00 90.00°
Space group Amm2 (No. 38)
One atom of each set of equivalent atoms:
As: 0.000 0.000 0.000 [2 per cell]
As: 0.500 0.000 0.264 [2 per cell]
Pt: 0.000 0.000 0.487 [2 per cell]
Se: 0.500 0.000 0.721 [2 per cell]



Record 27
The following is a GGA-PBE calculation of AsPt2Se after structural relaxation, from Alexandria.

Calculated values
ΔE_f (raw)   -0.256 eV per atom
N(E_F)   0.5367 states/eV/atom

Cell: 3.7672 3.7672 19.6981 Å, 90.00 90.00 120.00°
Space group R3m (No. 160, hexagonal axes)
One atom of each set of equivalent atoms:
As: 0.0000 0.0000 0.0000 [3 per cell]
Pt: 0.0000 0.0000 0.4739 [3 per cell]
Pt: 0.0000 0.0000 0.7210 [3 per cell]
Se: 0.0000 0.0000 0.2003 [3 per cell]



Record 28
The following is a GGA-PBE calculation of As2PtSe after structural relaxation, from Alexandria.

Calculated values
ΔE_f (raw)   0.383 eV per atom
N(E_F)   0.8267 states/eV/atom

Cell: 3.844 3.844 5.062 Å, 90.00 90.00 90.00°
Space group P4/mmm (No. 123)
One atom of each set of equivalent atoms:
As: 0.000 0.500 0.000 [2 per cell]
Pt: 0.000 0.000 0.500 [1 per cell]
Se: 0.500 0.500 0.500 [1 per cell]



Computed values of ρ (unit: Mg/m³) for the preceding records, in sequence: 8.13 7.89 11.43 5.42 7.25 8.02 6.12 14.10 7.23 8.02 8.08 7.79 9.88 5.25 10.57 7.99 7.82 6.50 6.16 6.21 6.48 11.28 8.44 11.32 6.94 9.19 11.19 9.41.
Computed values of electronic total energy (unit: Ry/atom) for the preceding records, in sequence: -0.46268 -0.48313 -0.43747 -0.47279 -0.50881 -0.50619 -0.46349 -0.46166 -0.50719 -0.50208 -0.50508 -0.52003 -0.50626 -0.46725 -0.37571 -0.50755 -0.37292 -0.36127 -0.32410 -0.33099 -0.35296 -0.46769 -0.39627 -0.57538 -0.34693 -0.35397 -0.39029 -0.31777.